First-principles (GGA-PBE) data for a geometry-optimized K2MgAlSn2 structure, as listed in Alexandria via LeMat-Bulk.

Lattice parameters (Å, degrees): 6.535 6.526 10.000 109.04 109.07 90.00
Atoms (fractional coordinates):
K1 0.416 0.177 0.355
Sn1 0.833 0.101 0.203
Sn2 0.631 0.399 0.797
Al1 0.500 0.750 0.000
K2 0.062 0.323 0.645
K3 0.584 0.823 0.645
Mg1 0.000 0.250 0.000
K4 0.938 0.677 0.355
Sn3 0.167 0.899 0.797
Mg2 0.000 0.750 0.000
Al2 0.500 0.250 0.000
Sn4 0.369 0.601 0.203

Output
The symmetry is Ibam (72).

First-principles (GGA-PBE) data for a geometry-optimized K2MgAl3Sn4 structure, as listed in Alexandria via LeMat-Bulk.

Lattice parameters (Å, degrees): 4.911 4.911 11.547 90.00 90.00 90.00
Atoms (fractional coordinates):
K1 0.000 0.500 0.750
Sn1 0.500 0.000 0.635
Al1 0.500 0.000 0.871
Sn2 0.000 0.500 0.365
Sn3 0.000 0.000 0.000
Mg1 0.500 0.500 0.500
Sn4 0.500 0.500 0.000
K2 0.500 0.000 0.250
Al2 0.000 0.000 0.500
Al3 0.000 0.500 0.129

Output
The symmetry is P-4m2 (115).

First-principles (GGA-PBE) data for a geometry-optimized K2MgTaAl structure, as listed in Alexandria via LeMat-Bulk.

Lattice parameters (Å, degrees): 6.092 6.092 5.575 90.00 90.00 90.00
Atoms (fractional coordinates):
Mg1 0.000 0.000 0.000
K1 0.000 0.500 0.000
K2 0.500 0.000 0.000
Al1 0.500 0.500 0.500
Ta1 0.000 0.000 0.500

Output
The symmetry is P4/mmm (123).

Number 1: volume 31.526 Å³/atom, formation energy from the elements -0.2063 eV/atom. Number 2: volume 27.851 Å³/atom, formation energy from the elements -0.1183 eV/atom. Number 3: volume 41.384 Å³/atom, formation energy from the elements 1.5774 eV/atom.